Record 1
## Tm6CuAg5 (PBE)

Data for a relaxed structure of Tm6CuAg5.

- ΔE_f (kJ/mol of formula units) = -378.6
- spin magnetization (μB/f.u.) = 0.000
- space-group type = Cmmm (65)
- ρ (g cm⁻³) = 9.9

Cell and atoms, written as POSCAR:
```
Tm6CuAg5
1.0
-3.305 -0.849 3.745
5.356 -0.890 4.526
-1.761 6.994 3.460
Tm Ag Cu
6 5 1
Direct
0.837 0.753 0.327 Tm
0.837 0.247 0.327 Tm
0.500 0.243 0.000 Tm
0.500 0.757 0.000 Tm
0.163 0.753 0.673 Tm
0.163 0.247 0.673 Tm
0.668 0.500 0.664 Ag
0.332 0.000 0.337 Ag
0.000 0.500 0.000 Ag
0.668 0.000 0.663 Ag
0.332 0.500 0.336 Ag
0.000 0.000 0.000 Cu
```

Record 2
## PrNdGaRu (PBE)

Data for a relaxed structure of PrNdGaRu.

- ΔE_f (kJ/mol of formula units) = -148.2
- spin magnetization (μB/f.u.) = 0.000
- space-group type = Amm2 (38)
- energy relative to the lowest polymorph listed for this composition (kJ/mol of formula units) = 0
- ρ (g cm⁻³) = 7.5

Cell and atoms, written as POSCAR:
```
PrNdGaRu
1.0
4.108 0.000 0.000
0.000 4.400 0.000
-2.054 0.000 5.566
Pr Nd Ga Ru
1 1 1 1
Direct
0.138 0.000 0.276 Pr
0.859 0.500 0.719 Nd
0.563 0.500 0.126 Ga
0.440 0.000 0.879 Ru
```

Record 3
## Er2PaCu (PBE)

Data for a relaxed structure of Er2PaCu.

- ΔE_f (kJ/mol of formula units) = 116.6
- spin magnetization (μB/f.u.) = 0.000
- space-group type = R-3m (166)
- energy relative to the lowest polymorph listed for this composition (kJ/mol of formula units) = 120
- ρ (g cm⁻³) = 10.7

Cell and atoms, written as POSCAR:
```
Er2PaCu
1.0
-1.012 1.605 -2.612
0.126 -1.402 -2.905
-10.313 -3.868 -0.376
Pa Cu Er
1 1 2
Direct
0.000 0.000 0.000 Pa
0.500 0.500 0.500 Cu
0.099 0.099 0.704 Er
0.901 0.901 0.296 Er
```

Record 4
## LaTbY2 (PBE)

Data for a relaxed structure of LaTbY2.

- ΔE_f (kJ/mol of formula units) = 9.2
- spin magnetization (μB/f.u.) = 0.000
- space-group type = Pmmm (47)
- energy relative to the lowest polymorph listed for this composition (kJ/mol of formula units) = 6
- ρ (g cm⁻³) = 5.9

Cell and atoms, written as POSCAR:
```
LaTbY2
1.0
5.038 0.000 0.468
0.000 7.263 0.000
-0.670 0.000 7.222
La Tb Y
2 2 4
Direct
0.000 0.250 0.000 La
0.000 0.750 0.000 La
0.000 0.250 0.500 Tb
0.000 0.750 0.500 Tb
0.500 0.500 0.256 Y
0.500 0.500 0.744 Y
0.500 0.000 0.744 Y
0.500 0.000 0.256 Y
```

Record 5
## Be2HIrRh (PBE)

Data for a relaxed structure of Be2HIrRh.

- spin magnetization (μB/f.u.) = 0.000
- space-group type = P4/mmm (123)
- energy relative to the lowest polymorph listed for this composition (kJ/mol of formula units) = 0
- ρ (g cm⁻³) = 10.8

Cell and atoms, written as POSCAR:
```
Be2HIrRh
1.0
3.921 0.000 0.000
0.000 3.921 0.000
0.000 0.000 3.141
Be Ir Rh H
2 1 1 1
Direct
0.000 0.500 0.000 Be
0.500 0.000 0.000 Be
0.500 0.500 0.500 Ir
0.000 0.000 0.500 Rh
0.000 0.000 0.000 H
```

Record 6
## LiPmMgAu (PBE)

Data for a relaxed structure of LiPmMgAu.

- ΔE_f (kJ/mol of formula units) = -172.1
- spin magnetization (μB/f.u.) = 0.001
- space-group type = F-43m (216)
- ρ (g cm⁻³) = 7.1

Cell and atoms, written as POSCAR:
```
LiPmMgAu
1.0
4.969 0.000 0.000
2.484 4.303 0.000
2.484 1.434 4.057
Mg Li Au Pm
1 1 1 1
Direct
0.250 0.250 0.250 Mg
0.500 0.500 0.500 Li
0.000 0.000 0.000 Au
0.750 0.750 0.750 Pm
```

Record 7
## CsMg3Nb (PBE)

Data for a relaxed structure of CsMg3Nb.

- ΔE_f (kJ/mol of formula units) = 400.9
- spin magnetization (μB/f.u.) = 4.496
- space-group type = Pm-3m (221)
- energy relative to the lowest polymorph listed for this composition (kJ/mol of formula units) = 0
- ρ (g cm⁻³) = 2.6

Cell and atoms, written as POSCAR:
```
CsMg3Nb
1.0
5.778 0.000 0.000
0.000 5.778 0.000
0.000 0.000 5.778
Cs Nb Mg
1 1 3
Direct
0.500 0.500 0.500 Cs
0.000 0.000 0.000 Nb
0.000 0.500 0.000 Mg
0.000 0.000 0.500 Mg
0.500 0.000 0.000 Mg
```

Record 8
## Li3Ni2As3 (PBE)

Data for a relaxed structure of Li3Ni2As3.

- ΔE_f (kJ/mol of formula units) = -332.6
- spin magnetization (μB/f.u.) = 0.000
- space-group type = Pnma (62)
- ρ (g cm⁻³) = 4.9

Cell and atoms, written as POSCAR:
```
Li3Ni2As3
1.0
4.965 0.000 0.000
0.000 7.354 0.000
0.000 0.000 13.557
Li Ni As
12 8 12
Direct
0.071 0.429 0.368 Li
0.571 0.071 0.632 Li
0.929 0.571 0.868 Li
0.429 0.929 0.132 Li
0.929 0.571 0.632 Li
0.429 0.929 0.368 Li
0.071 0.429 0.132 Li
0.571 0.071 0.868 Li
0.586 0.283 0.250 Li
0.086 0.217 0.750 Li
0.414 0.717 0.750 Li
0.914 0.783 0.250 Li
0.944 0.075 0.413 Ni
0.444 0.425 0.587 Ni
0.056 0.925 0.913 Ni
0.556 0.575 0.087 Ni
0.056 0.925 0.587 Ni
0.556 0.575 0.413 Ni
0.944 0.075 0.087 Ni
0.444 0.425 0.913 Ni
0.081 0.127 0.250 As
0.581 0.373 0.750 As
0.919 0.873 0.750 As
0.419 0.627 0.250 As
0.563 0.263 0.445 As
0.063 0.237 0.555 As
0.437 0.737 0.945 As
0.937 0.763 0.055 As
0.437 0.737 0.555 As
0.937 0.763 0.445 As
0.563 0.263 0.055 As
0.063 0.237 0.945 As
```

- Which formula does entry 8 have?
  Li3Ni2As3